# GdMgZn, optimized geometry, DFT GGA-PBE
data_GdMgZn
_chemical_formula_sum 'Gd2 Mg2 Zn2'
_cell_length_a 3.384
_cell_length_b 3.378
_cell_length_c 14.580
_cell_angle_alpha 95.79
_cell_angle_beta 90.00
_cell_angle_gamma 120.06
_symmetry_space_group_name_H-M 'P 1'
_symmetry_Int_Tables_number 1
loop_
_symmetry_equiv_pos_as_xyz
'x,y,z'
loop_
_atom_site_label
_atom_site_fract_x
_atom_site_fract_y
_atom_site_fract_z
Zn1 0.861 0.722 0.634
Zn2 0.241 0.481 0.755
Gd1 0.415 0.830 0.266
Gd2 0.142 0.284 0.468
Mg1 0.690 0.380 0.072
Mg2 0.960 0.919 0.898
# Final energy, eV per atom: -2.4451

=====

# InAgSb, optimized geometry, DFT GGA-PBE
data_InAgSb
_chemical_formula_sum 'In1 Ag1 Sb1'
_cell_length_a 4.918
_cell_length_b 4.918
_cell_length_c 4.918
_cell_angle_alpha 60.00
_cell_angle_beta 60.00
_cell_angle_gamma 60.00
_symmetry_space_group_name_H-M 'P 1'
_symmetry_Int_Tables_number 1
loop_
_symmetry_equiv_pos_as_xyz
'x,y,z'
loop_
_atom_site_label
_atom_site_fract_x
_atom_site_fract_y
_atom_site_fract_z
Sb1 0.000 0.000 0.000
In1 0.750 0.750 0.750
Ag1 0.250 0.250 0.250
# Final energy, eV per atom: -3.0970
# Relative energy among the computed polymorphs, meV/atom: 0.0

=====

# RbNbNiS3, optimized geometry, DFT GGA-PBE
data_RbNbNiS3
_chemical_formula_sum 'Rb2 Nb2 Ni2 S6'
_cell_length_a 8.523
_cell_length_b 3.579
_cell_length_c 9.506
_cell_angle_alpha 90.00
_cell_angle_beta 116.11
_cell_angle_gamma 90.00
_symmetry_space_group_name_H-M 'P 1'
_symmetry_Int_Tables_number 1
loop_
_symmetry_equiv_pos_as_xyz
'x,y,z'
loop_
_atom_site_label
_atom_site_fract_x
_atom_site_fract_y
_atom_site_fract_z
Ni1 0.589 0.750 0.109
Ni2 0.411 0.250 0.891
Rb1 0.249 0.250 0.233
Rb2 0.751 0.750 0.767
S1 0.714 0.250 0.051
S2 0.286 0.750 0.949
S3 0.971 0.250 0.632
S4 0.391 0.250 0.647
S5 0.609 0.750 0.353
S6 0.029 0.750 0.368
Nb1 0.204 0.750 0.673
Nb2 0.796 0.250 0.327
# Final energy, eV per atom: -5.8300

=====

# K2Tb2O5, optimized geometry, DFT GGA-PBE
data_K2Tb2O5
_chemical_formula_sum 'K2 Tb2 O5'
_cell_length_a 7.279
_cell_length_b 4.321
_cell_length_c 4.321
_cell_angle_alpha 90.00
_cell_angle_beta 90.00
_cell_angle_gamma 90.00
_symmetry_space_group_name_H-M 'P 1'
_symmetry_Int_Tables_number 1
loop_
_symmetry_equiv_pos_as_xyz
'x,y,z'
loop_
_atom_site_label
_atom_site_fract_x
_atom_site_fract_y
_atom_site_fract_z
Tb1 0.000 0.000 0.000
Tb2 0.500 0.000 0.000
O1 0.805 0.500 0.000
O2 0.195 0.000 0.500
O3 0.195 0.500 0.000
O4 0.805 0.000 0.500
O5 0.500 0.500 0.500
K1 0.811 0.500 0.500
K2 0.189 0.500 0.500
# Final energy, eV per atom: -5.0468
# Relative energy among the computed polymorphs, meV/atom: 1185.1

=====

# TmCo3, optimized geometry, DFT GGA-PBE
data_TmCo3
_chemical_formula_sum 'Tm1 Co3'
_cell_length_a 3.812
_cell_length_b 3.814
_cell_length_c 3.813
_cell_angle_alpha 90.00
_cell_angle_beta 90.00
_cell_angle_gamma 90.00
_symmetry_space_group_name_H-M 'P 1'
_symmetry_Int_Tables_number 1
loop_
_symmetry_equiv_pos_as_xyz
'x,y,z'
loop_
_atom_site_label
_atom_site_fract_x
_atom_site_fract_y
_atom_site_fract_z
Co1 0.500 0.000 0.500
Co2 0.000 0.500 0.500
Co3 0.500 0.500 0.000
Tm1 0.000 0.000 0.000
# Final energy, eV per atom: -6.3757
# DFT formation energy, eV/atom: 0.0729

=====

# Nd2Gd2CBr5, optimized geometry, DFT GGA-PBE
data_Nd2Gd2CBr5
_chemical_formula_sum 'Nd2 Gd2 C1 Br5'
_cell_length_a 9.293
_cell_length_b 9.293
_cell_length_c 8.410
_cell_angle_alpha 102.74
_cell_angle_beta 102.74
_cell_angle_gamma 24.35
_symmetry_space_group_name_H-M 'P 1'
_symmetry_Int_Tables_number 1
loop_
_symmetry_equiv_pos_as_xyz
'x,y,z'
loop_
_atom_site_label
_atom_site_fract_x
_atom_site_fract_y
_atom_site_fract_z
Nd1 0.002 0.002 0.794
Nd2 0.998 0.998 0.206
Br1 0.827 0.827 0.159
Br2 0.500 0.500 0.500
Br3 0.166 0.166 0.333
Br4 0.173 0.173 0.841
Br5 0.834 0.834 0.667
Gd1 0.362 0.362 0.927
Gd2 0.638 0.638 0.073
C1 0.500 0.500 0.000
# Final energy, eV per atom: -5.0842

=====

# HfTlSb2, optimized geometry, DFT GGA-PBE
data_HfTlSb2
_chemical_formula_sum 'Hf1 Tl1 Sb2'
_cell_length_a 5.242
_cell_length_b 5.242
_cell_length_c 5.242
_cell_angle_alpha 60.00
_cell_angle_beta 60.00
_cell_angle_gamma 60.00
_symmetry_space_group_name_H-M 'P 1'
_symmetry_Int_Tables_number 1
loop_
_symmetry_equiv_pos_as_xyz
'x,y,z'
loop_
_atom_site_label
_atom_site_fract_x
_atom_site_fract_y
_atom_site_fract_z
Sb1 0.000 0.000 0.000
Sb2 0.750 0.750 0.750
Tl1 0.500 0.500 0.500
Hf1 0.250 0.250 0.250
# Final energy, eV per atom: -4.8257

=====

# CuAg3, optimized geometry, DFT GGA-PBE
data_CuAg3
_chemical_formula_sum 'Cu2 Ag6'
_cell_length_a 4.954
_cell_length_b 4.954
_cell_length_c 8.096
_cell_angle_alpha 114.19
_cell_angle_beta 114.19
_cell_angle_gamma 47.76
_symmetry_space_group_name_H-M 'P 1'
_symmetry_Int_Tables_number 1
loop_
_symmetry_equiv_pos_as_xyz
'x,y,z'
loop_
_atom_site_label
_atom_site_fract_x
_atom_site_fract_y
_atom_site_fract_z
Ag1 0.373 0.373 0.565
Ag2 0.128 0.128 0.693
Ag3 0.621 0.621 0.939
Ag4 0.379 0.379 0.061
Ag5 0.872 0.872 0.307
Ag6 0.627 0.627 0.435
Cu1 0.122 0.122 0.182
Cu2 0.878 0.878 0.818
# Final energy, eV per atom: -2.9758
# DFT formation energy, eV/atom: 0.0716

=====

# LuMgAlFe, optimized geometry, DFT GGA-PBE
data_LuMgAlFe
_chemical_formula_sum 'Lu1 Mg1 Al1 Fe1'
_cell_length_a 4.660
_cell_length_b 4.660
_cell_length_c 4.660
_cell_angle_alpha 60.00
_cell_angle_beta 60.00
_cell_angle_gamma 60.00
_symmetry_space_group_name_H-M 'P 1'
_symmetry_Int_Tables_number 1
loop_
_symmetry_equiv_pos_as_xyz
'x,y,z'
loop_
_atom_site_label
_atom_site_fract_x
_atom_site_fract_y
_atom_site_fract_z
Lu1 0.250 0.250 0.250
Fe1 0.750 0.750 0.750
Al1 0.000 0.000 0.000
Mg1 0.500 0.500 0.500
# Final energy, eV per atom: -4.4833
# Relative energy among the computed polymorphs, meV/atom: 14.4

=====

# Hf2NbZn, optimized geometry, DFT GGA-PBE
data_Hf2NbZn
_chemical_formula_sum 'Hf2 Nb1 Zn1'
_cell_length_a 4.742
_cell_length_b 4.742
_cell_length_c 4.742
_cell_angle_alpha 60.00
_cell_angle_beta 60.00
_cell_angle_gamma 60.00
_symmetry_space_group_name_H-M 'P 1'
_symmetry_Int_Tables_number 1
loop_
_symmetry_equiv_pos_as_xyz
'x,y,z'
loop_
_atom_site_label
_atom_site_fract_x
_atom_site_fract_y
_atom_site_fract_z
Zn1 0.500 0.500 0.500
Hf1 0.000 0.000 0.000
Hf2 0.750 0.750 0.750
Nb1 0.250 0.250 0.250
# Final energy, eV per atom: -7.6684
# DFT formation energy, eV/atom: 0.1489

=====

# TaBeTcSn, optimized geometry, DFT GGA-PBE
data_TaBeTcSn
_chemical_formula_sum 'Ta1 Be1 Tc1 Sn1'
_cell_length_a 4.480
_cell_length_b 4.480
_cell_length_c 4.480
_cell_angle_alpha 60.00
_cell_angle_beta 60.00
_cell_angle_gamma 60.00
_symmetry_space_group_name_H-M 'P 1'
_symmetry_Int_Tables_number 1
loop_
_symmetry_equiv_pos_as_xyz
'x,y,z'
loop_
_atom_site_label
_atom_site_fract_x
_atom_site_fract_y
_atom_site_fract_z
Be1 0.750 0.750 0.750
Tc1 0.500 0.500 0.500
Sn1 0.000 0.000 0.000
Ta1 0.250 0.250 0.250
# Final energy, eV per atom: -7.2347
# Relative energy among the computed polymorphs, meV/atom: 186.8

=====

# Lu4ZnB3, optimized geometry, DFT GGA-PBE
data_Lu4ZnB3
_chemical_formula_sum 'Lu8 Zn2 B6'
_cell_length_a 3.493
_cell_length_b 3.493
_cell_length_c 28.783
_cell_angle_alpha 90.00
_cell_angle_beta 90.00
_cell_angle_gamma 120.00
_symmetry_space_group_name_H-M 'P 1'
_symmetry_Int_Tables_number 1
loop_
_symmetry_equiv_pos_as_xyz
'x,y,z'
loop_
_atom_site_label
_atom_site_fract_x
_atom_site_fract_y
_atom_site_fract_z
B1 0.000 0.000 0.000
B2 0.000 0.000 0.500
B3 0.667 0.333 0.383
B4 0.333 0.667 0.883
B5 0.667 0.333 0.117
B6 0.333 0.667 0.617
Lu1 0.000 0.000 0.668
Lu2 0.000 0.000 0.168
Lu3 0.667 0.333 0.943
Lu4 0.000 0.000 0.332
Lu5 0.333 0.667 0.057
Lu6 0.667 0.333 0.557
Lu7 0.000 0.000 0.832
Lu8 0.333 0.667 0.443
Zn1 0.667 0.333 0.750
Zn2 0.333 0.667 0.250
# Final energy, eV per atom: -4.8289